Below is an optimized crystal structure of Cd2B2O5, with properties calculated at the PBE level.

Cell and atoms, written as CIF:
```
data_Cd2B2O5
_space_group_name_H-M_alt 'P 4/m m m'
_space_group_IT_number 123
_space_group_name_Hall '-P 4 2'
_cell_length_a 3.289
_cell_length_b 3.289
_cell_length_c 9.218
_cell_angle_alpha 90.00
_cell_angle_beta 90.00
_cell_angle_gamma 90.00
loop_
_atom_site_label
_atom_site_fract_x
_atom_site_fract_y
_atom_site_fract_z
Cd1 0.000 0.000 0.228
B1 0.500 0.500 0.000
B2 0.500 0.500 0.500
O1 0.000 0.000 0.000
O2 0.000 0.500 0.387
```

Output
E, eV per atom: -3.95